Entry a
Below is a relaxed structure of Ba2YBi2, with properties calculated at the PBE level.

abc: 7.194 8.585 9.062
angles: 118.27 113.39 90.00
Last column: magnetic moment on the atom in μB.
Fractional positions:
Ba 0.354 0.010 0.708  0.06
Ba 0.146 0.301 0.292  0.06
Ba 0.854 0.699 0.708  0.06
Ba 0.646 0.990 0.292  0.06
Bi 0.110 0.849 0.219  -0.03
Bi 0.610 0.371 0.219  -0.03
Bi 0.890 0.151 0.781  -0.03
Bi 0.390 0.629 0.781  -0.03
Y 0.250 0.500 0.000  0.32
Y 0.750 0.500 0.000  0.32

Entry b
Below is a relaxed structure of Ba2YBi2, with properties calculated at the PBE level.

abc: 8.885 8.885 5.033
angles: 90.00 90.00 90.00
Last column: magnetic moment on the atom in μB.
Fractional positions:
Bi 0.167 0.333 0.000  0.00
Bi 0.667 0.167 0.000  0.00
Bi 0.333 0.833 0.000  0.00
Bi 0.833 0.667 0.000  0.00
Ba 0.856 0.356 0.500  0.04
Ba 0.144 0.644 0.500  0.04
Ba 0.356 0.144 0.500  0.04
Ba 0.644 0.856 0.500  0.04
Y 0.500 0.500 0.000  0.23
Y 0.000 0.000 0.000  0.23

Name the most stable of them. entry a.

Entry a
Below is a relaxed structure of BaY2Bi2, with properties calculated at the PBE level.

abc: 5.926 5.926 7.049
angles: 65.15 65.15 90.00
Fractional positions:
Y 0.667 0.667 0.666
Y 0.333 0.333 0.334
Bi 0.250 0.750 0.500
Bi 0.750 0.250 0.500
Ba 0.000 0.000 0.000

Entry b
Below is a relaxed structure of BaY2Bi2, with properties calculated at the PBE level.

abc: 4.956 4.956 8.341
angles: 72.72 72.72 90.00
Last column: magnetic moment on the atom in μB.
Fractional positions:
Bi 0.618 0.618 0.764  -0.04
Bi 0.382 0.382 0.236  -0.04
Ba 0.000 0.000 0.000  0.04
Y 0.750 0.250 0.500  0.34
Y 0.250 0.750 0.500  0.34

Entry c
Below is a relaxed structure of BaY2Bi2, with properties calculated at the PBE level.

abc: 9.032 9.032 4.144
angles: 90.00 90.00 90.00
Last column: magnetic moment on the atom in μB.
Fractional positions:
Y 0.645 0.855 0.500  0.15
Y 0.855 0.355 0.500  0.15
Y 0.355 0.145 0.500  0.15
Y 0.145 0.645 0.500  0.15
Bi 0.354 0.854 0.000  -0.02
Bi 0.146 0.354 0.000  -0.02
Bi 0.646 0.146 0.000  -0.02
Bi 0.854 0.646 0.000  -0.02
Ba 0.000 0.000 0.000  0.07
Ba 0.500 0.500 0.000  0.07

Name the most stable of them. entry b.

Entry a
Below is a relaxed structure of Ba2Zn2Bi, with properties calculated at the PBE level.

abc: 8.221 8.221 4.949
angles: 90.00 90.00 90.00
Fractional positions:
Zn 0.390 0.890 0.000
Zn 0.610 0.110 0.000
Zn 0.110 0.390 0.000
Zn 0.890 0.610 0.000
Ba 0.310 0.190 0.500
Ba 0.690 0.810 0.500
Ba 0.810 0.310 0.500
Ba 0.190 0.690 0.500
Bi 0.000 0.000 0.000
Bi 0.500 0.500 0.000

Entry b
Below is a relaxed structure of Ba2Zn2Bi, with properties calculated at the PBE level.

abc: 4.117 4.117 10.707
angles: 78.92 78.92 90.00
Fractional positions:
Ba 0.608 0.608 0.785
Ba 0.392 0.392 0.215
Bi 0.000 0.000 0.000
Zn 0.250 0.750 0.500
Zn 0.750 0.250 0.500

Name the most stable of them. entry a.